Compound: TlSI
Source: Alexandria
Functional: GGA-PBE
Structure: relaxed

Geometry as extended XYZ:
```
6
Lattice="5.246 0.000 0.000 0.324 6.300 0.000 0.719 0.122 6.667" Properties=species:S:1:pos:R:3 pbc="T T T"
Tl 0.298 1.550 1.656
Tl 5.991 4.873 5.010
S 0.924 4.629 1.238
S 5.365 1.794 5.428
I 2.558 1.650 4.802
I 3.731 4.773 1.865
```

Values from the calculation:
**Space group**: P-1, No. 2
**DFT total energy**: -16.8 eV per cell
**Volume**: 220.3 Å³/cell


Compound: Hf4Zn5Au6
Source: Alexandria
Functional: GGA-PBE
Structure: relaxed

Geometry as extended XYZ:
```
30
Lattice="1.756 -10.681 0.000 1.756 10.681 0.000 0.000 0.000 14.711" Properties=species:S:1:pos:R:3 pbc="T T T"
Hf 1.756 10.109 7.356
Hf 1.756 9.342 11.329
Hf 1.756 8.045 3.978
Hf 1.756 6.569 14.025
Hf 1.756 -6.569 6.669
Hf 1.756 -8.045 11.333
Hf 1.756 -9.342 3.973
Hf 1.756 -10.109 0.000
Zn 1.756 6.658 9.893
Zn 1.756 4.013 9.174
Zn 1.756 3.712 4.372
Zn 1.756 2.859 13.803
Zn 1.756 0.476 9.733
Zn 1.756 -0.476 2.377
Zn 1.756 -2.859 6.448
Zn 1.756 -3.712 11.728
Zn 1.756 -4.013 1.818
Zn 1.756 -6.658 2.537
Au 1.756 8.630 1.227
Au 1.756 6.114 7.408
Au 1.756 4.778 11.774
Au 1.756 2.136 1.753
Au 1.756 1.814 6.274
Au 1.756 0.671 12.389
Au 1.756 -0.671 5.033
Au 1.756 -1.814 13.630
Au 1.756 -2.136 9.108
Au 1.756 -4.778 4.419
Au 1.756 -6.114 0.052
Au 1.756 -8.630 8.582
```

Values from the calculation:
**Space group**: Cmc2_1, No. 36
**DFT total energy**: -141.6 eV per cell
**Volume**: 551.9 Å³/cell
**Formation energy from the elements**: -331 meV per atom
**Density of states at the Fermi level**: 6.5 states/eV/f.u.


Compound: Pr6Nd2Ga
Source: Alexandria
Functional: GGA-PBE
Structure: relaxed

Geometry as extended XYZ:
```
18
Lattice="5.642 0.000 0.000 0.000 10.162 0.000 -5.634 0.000 10.668" Properties=species:S:1:pos:R:3 pbc="T T T"
Pr 0.002 1.963 0.768
Pr -2.815 3.118 6.101
Pr -2.816 0.161 8.570
Pr 0.001 4.920 3.236
Pr 0.005 1.365 4.243
Pr -2.812 3.716 9.577
Pr 2.820 6.446 1.090
Pr 0.003 8.797 6.424
Pr 0.007 5.242 7.432
Pr 2.824 10.001 2.098
Pr 2.822 7.044 4.566
Pr 0.005 8.199 9.900
Nd -2.815 7.015 8.011
Nd 0.002 8.228 2.677
Nd 0.006 1.934 7.991
Nd 2.823 3.147 2.657
Ga -2.817 0.000 5.334
Ga 0.000 5.081 0.000
```

Values from the calculation:
**Space group**: P2_1/c, No. 14
**DFT total energy**: -83.3 eV per cell
**Volume**: 611.6 Å³/cell
**Formation energy from the elements**: -48 meV per atom
**Density of states at the Fermi level**: 10.9 states/eV/f.u.


> Which formula does entry 2 have?

Hf4Zn5Au6


> Among the records above, which one has the highest volume?

Pr6Nd2Ga


> What is the DFT total energy in the second record?

-141.6 eV per cell